1.
Computed, not measured: an optimized crystal structure of Cd2Ni2Pb at the PBE-GGA level of DFT.

Geometry as CIF:
```
data_Cd2Ni2Pb
_symmetry_space_group_name_H-M 'P 4/m b m'
_symmetry_Int_Tables_number 127
_symmetry_space_group_name_Hall '-P 4 2ab'
_cell_length_a 7.899
_cell_length_b 7.899
_cell_length_c 2.988
_cell_angle_alpha 90.00
_cell_angle_beta 90.00
_cell_angle_gamma 90.00
loop_
_atom_site_label
_atom_site_type_symbol
_atom_site_fract_x
_atom_site_fract_y
_atom_site_fract_z
Cd1 Cd 0.131 0.369 0.000
Ni1 Ni 0.163 0.663 0.500
Pb1 Pb 0.000 0.000 0.000
```

Output
For the calculated volume, the calculation gives 186.5 Å³/cell. The energy above the lowest structure with this stoichiometry is 115 meV/atom. The formation enthalpy at 0 K is 1.2 eV/f.u.



2.
Computed, not measured: an optimized crystal structure of Cd2NiPb at the PBE-GGA level of DFT.

Geometry as CIF:
```
data_Cd2NiPb
_symmetry_space_group_name_H-M 'P 4/m m m'
_symmetry_Int_Tables_number 123
_symmetry_space_group_name_Hall '-P 4 2'
_cell_length_a 3.178
_cell_length_b 3.178
_cell_length_c 8.543
_cell_angle_alpha 90.00
_cell_angle_beta 90.00
_cell_angle_gamma 90.00
loop_
_atom_site_label
_atom_site_type_symbol
_atom_site_fract_x
_atom_site_fract_y
_atom_site_fract_z
Cd1 Cd 0.000 0.000 0.182
Ni1 Ni 0.500 0.500 0.000
Pb1 Pb 0.500 0.500 0.500
```

Output
For the calculated volume, the calculation gives 86.3 Å³/cell. The energy above the lowest structure with this stoichiometry is 25 meV/atom. The formation enthalpy at 0 K is 0.4 eV/f.u.



3.
Computed, not measured: an optimized crystal structure of CdNi2Pb at the PBE-GGA level of DFT.

Geometry as CIF:
```
data_CdNi2Pb
_symmetry_space_group_name_H-M 'I -4 2 d'
_symmetry_Int_Tables_number 122
_symmetry_space_group_name_Hall 'I -4 2bw'
_cell_length_a 7.127
_cell_length_b 7.127
_cell_length_c 5.806
_cell_angle_alpha 90.00
_cell_angle_beta 90.00
_cell_angle_gamma 90.00
loop_
_atom_site_label
_atom_site_type_symbol
_atom_site_fract_x
_atom_site_fract_y
_atom_site_fract_z
Cd1 Cd 0.000 0.000 0.000
Ni1 Ni 0.249 0.250 0.625
Pb1 Pb 0.000 0.000 0.500
```

Output
For the calculated volume, the calculation gives 294.9 Å³/cell. The energy above the lowest structure with this stoichiometry is 288 meV/atom. The formation enthalpy at 0 K is 1.7 eV/f.u.



4.
Computed, not measured: an optimized crystal structure of CdNi2Pb2 at the PBE-GGA level of DFT.

Geometry as CIF:
```
data_CdNi2Pb2
_symmetry_space_group_name_H-M 'P 4/m b m'
_symmetry_Int_Tables_number 127
_symmetry_space_group_name_Hall '-P 4 2ab'
_cell_length_a 8.021
_cell_length_b 8.021
_cell_length_c 3.173
_cell_angle_alpha 90.00
_cell_angle_beta 90.00
_cell_angle_gamma 90.00
loop_
_atom_site_label
_atom_site_type_symbol
_atom_site_fract_x
_atom_site_fract_y
_atom_site_fract_z
Cd1 Cd 0.000 0.000 0.000
Ni1 Ni 0.125 0.375 0.500
Pb1 Pb 0.160 0.660 0.000
```

Output
For the calculated volume, the calculation gives 204.2 Å³/cell. The energy above the lowest structure with this stoichiometry is 184 meV/atom. The formation enthalpy at 0 K is 1.7 eV/f.u.



5.
Computed, not measured: an optimized crystal structure of Cd2Ni2Pb at the PBE-GGA level of DFT.

Geometry as CIF:
```
data_Cd2Ni2Pb
_symmetry_space_group_name_H-M 'I 4/m m m'
_symmetry_Int_Tables_number 139
_symmetry_space_group_name_Hall '-I 4 2'
_cell_length_a 4.038
_cell_length_b 4.038
_cell_length_c 11.911
_cell_angle_alpha 90.00
_cell_angle_beta 90.00
_cell_angle_gamma 90.00
loop_
_atom_site_label
_atom_site_type_symbol
_atom_site_fract_x
_atom_site_fract_y
_atom_site_fract_z
Cd1 Cd 0.000 0.500 0.250
Ni1 Ni 0.000 0.000 0.097
Pb1 Pb 0.000 0.000 0.500
```

Output
For the calculated volume, the calculation gives 194.2 Å³/cell. The energy above the lowest structure with this stoichiometry is 106 meV/atom. The formation enthalpy at 0 K is 1.1 eV/f.u.



6.
Computed, not measured: an optimized crystal structure of CdNi2Pb2 at the PBE-GGA level of DFT.

Geometry as CIF:
```
data_CdNi2Pb2
_symmetry_space_group_name_H-M 'I 4/m m m'
_symmetry_Int_Tables_number 139
_symmetry_space_group_name_Hall '-I 4 2'
_cell_length_a 3.512
_cell_length_b 3.512
_cell_length_c 17.784
_cell_angle_alpha 90.00
_cell_angle_beta 90.00
_cell_angle_gamma 90.00
loop_
_atom_site_label
_atom_site_type_symbol
_atom_site_fract_x
_atom_site_fract_y
_atom_site_fract_z
Cd1 Cd 0.000 0.000 0.000
Ni1 Ni 0.000 0.500 0.250
Pb1 Pb 0.000 0.000 0.367
```

Output
For the calculated volume, the calculation gives 219.4 Å³/cell. The energy above the lowest structure with this stoichiometry is 52 meV/atom. The formation enthalpy at 0 K is 1.0 eV/f.u.



7.
Computed, not measured: an optimized crystal structure of Cd2Ni2Pb at the PBE-GGA level of DFT.

Geometry as CIF:
```
data_Cd2Ni2Pb
_symmetry_space_group_name_H-M 'P 4/m b m'
_symmetry_Int_Tables_number 127
_symmetry_space_group_name_Hall '-P 4 2ab'
_cell_length_a 7.009
_cell_length_b 7.009
_cell_length_c 3.699
_cell_angle_alpha 90.00
_cell_angle_beta 90.00
_cell_angle_gamma 90.00
loop_
_atom_site_label
_atom_site_type_symbol
_atom_site_fract_x
_atom_site_fract_y
_atom_site_fract_z
Cd1 Cd 0.154 0.346 0.000
Ni1 Ni 0.135 0.635 0.500
Pb1 Pb 0.000 0.000 0.500
```

Output
For the calculated volume, the calculation gives 181.7 Å³/cell. The energy above the lowest structure with this stoichiometry is 0 meV/atom. The formation enthalpy at 0 K is 0.6 eV/f.u.



8.
Computed, not measured: an optimized crystal structure of Cd2NiPb at the PBE-GGA level of DFT.

Geometry as CIF:
```
data_Cd2NiPb
_symmetry_space_group_name_H-M 'I m m 2'
_symmetry_Int_Tables_number 44
_cell_length_a 3.053
_cell_length_b 4.501
_cell_length_c 13.054
_cell_angle_alpha 90.00
_cell_angle_beta 90.00
_cell_angle_gamma 90.00
loop_
_symmetry_equiv_pos_as_xyz
'x,y,z'
'-x,-y,z'
'-x,y,z'
'x,-y,z'
'x+1/2,y+1/2,z+1/2'
'-x+1/2,-y+1/2,z+1/2'
'-x+1/2,y+1/2,z+1/2'
'x+1/2,-y+1/2,z+1/2'
loop_
_atom_site_label
_atom_site_type_symbol
_atom_site_fract_x
_atom_site_fract_y
_atom_site_fract_z
Cd1 Cd 0.000 0.000 0.000
Cd2 Cd 0.000 0.500 0.166
Ni1 Ni 0.000 0.500 0.673
Pb1 Pb 0.000 0.000 0.353
```

Output
For the calculated volume, the calculation gives 179.4 Å³/cell. The energy above the lowest structure with this stoichiometry is 0 meV/atom. The formation enthalpy at 0 K is 0.3 eV/f.u.



9.
Computed, not measured: an optimized crystal structure of Cd2NiPb at the PBE-GGA level of DFT.

Geometry as CIF:
```
data_Cd2NiPb
_symmetry_space_group_name_H-M 'P 4 m m'
_symmetry_Int_Tables_number 99
_cell_length_a 3.220
_cell_length_b 3.220
_cell_length_c 8.323
_cell_angle_alpha 90.00
_cell_angle_beta 90.00
_cell_angle_gamma 90.00
loop_
_symmetry_equiv_pos_as_xyz
'x,y,z'
'-y,x,z'
'-x,-y,z'
'y,-x,z'
'-x,y,z'
'y,x,z'
'x,-y,z'
'-y,-x,z'
loop_
_atom_site_label
_atom_site_type_symbol
_atom_site_fract_x
_atom_site_fract_y
_atom_site_fract_z
Cd1 Cd 0.000 0.000 0.000
Cd2 Cd 0.500 0.500 0.266
Ni1 Ni 0.000 0.000 0.452
Pb1 Pb 0.500 0.500 0.661
```

Output
For the calculated volume, the calculation gives 86.3 Å³/cell. The energy above the lowest structure with this stoichiometry is 39 meV/atom. The formation enthalpy at 0 K is 0.4 eV/f.u.



10.
Computed, not measured: an optimized crystal structure of CdNi2Pb at the PBE-GGA level of DFT.

Geometry as CIF:
```
data_CdNi2Pb
_symmetry_space_group_name_H-M 'I m m 2'
_symmetry_Int_Tables_number 44
_cell_length_a 3.321
_cell_length_b 4.301
_cell_length_c 9.590
_cell_angle_alpha 90.00
_cell_angle_beta 90.00
_cell_angle_gamma 90.00
loop_
_symmetry_equiv_pos_as_xyz
'x,y,z'
'-x,-y,z'
'-x,y,z'
'x,-y,z'
'x+1/2,y+1/2,z+1/2'
'-x+1/2,-y+1/2,z+1/2'
'-x+1/2,y+1/2,z+1/2'
'x+1/2,-y+1/2,z+1/2'
loop_
_atom_site_label
_atom_site_type_symbol
_atom_site_fract_x
_atom_site_fract_y
_atom_site_fract_z
Cd1 Cd 0.000 0.000 0.000
Ni1 Ni 0.000 0.000 0.474
Ni2 Ni 0.000 0.500 0.775
Pb1 Pb 0.000 0.500 0.222
```

Output
For the calculated volume, the calculation gives 137.0 Å³/cell. The energy above the lowest structure with this stoichiometry is 89 meV/atom. The formation enthalpy at 0 K is 0.9 eV/f.u.



11.
Computed, not measured: an optimized crystal structure of CdNi2Pb at the PBE-GGA level of DFT.

Geometry as CIF:
```
data_CdNi2Pb
_symmetry_space_group_name_H-M 'F -4 3 m'
_symmetry_Int_Tables_number 216
_symmetry_space_group_name_Hall 'F -4 2 3'
_cell_length_a 6.526
_cell_length_b 6.526
_cell_length_c 6.526
_cell_angle_alpha 90.00
_cell_angle_beta 90.00
_cell_angle_gamma 90.00
loop_
_atom_site_label
_atom_site_type_symbol
_atom_site_fract_x
_atom_site_fract_y
_atom_site_fract_z
Cd1 Cd 0.000 0.000 0.000
Ni1 Ni 0.000 0.000 0.500
Ni2 Ni 0.250 0.250 0.750
Pb1 Pb 0.250 0.250 0.250
```

Output
For the calculated volume, the calculation gives 278.0 Å³/cell. The energy above the lowest structure with this stoichiometry is 266 meV/atom. The formation enthalpy at 0 K is 1.6 eV/f.u.



12.
Computed, not measured: an optimized crystal structure of CdNi2Pb2 at the PBE-GGA level of DFT.

Geometry as CIF:
```
data_CdNi2Pb2
_symmetry_space_group_name_H-M 'P 4/m b m'
_symmetry_Int_Tables_number 127
_symmetry_space_group_name_Hall '-P 4 2ab'
_cell_length_a 7.152
_cell_length_b 7.152
_cell_length_c 3.846
_cell_angle_alpha 90.00
_cell_angle_beta 90.00
_cell_angle_gamma 90.00
loop_
_atom_site_label
_atom_site_type_symbol
_atom_site_fract_x
_atom_site_fract_y
_atom_site_fract_z
Cd1 Cd 0.000 0.000 0.000
Ni1 Ni 0.130 0.370 0.000
Pb1 Pb 0.166 0.666 0.500
```

Output
For the calculated volume, the calculation gives 196.7 Å³/cell. The energy above the lowest structure with this stoichiometry is 0 meV/atom. The formation enthalpy at 0 K is 0.7 eV/f.u.



13.
Computed, not measured: an optimized crystal structure of CdNi2Pb at the PBE-GGA level of DFT.

Geometry as CIF:
```
data_CdNi2Pb
_symmetry_space_group_name_H-M 'F m -3 m'
_symmetry_Int_Tables_number 225
_symmetry_space_group_name_Hall '-F 4 2 3'
_cell_length_a 6.431
_cell_length_b 6.431
_cell_length_c 6.431
_cell_angle_alpha 90.00
_cell_angle_beta 90.00
_cell_angle_gamma 90.00
loop_
_atom_site_label
_atom_site_type_symbol
_atom_site_fract_x
_atom_site_fract_y
_atom_site_fract_z
Cd1 Cd 0.000 0.000 0.000
Ni1 Ni 0.250 0.250 0.250
Pb1 Pb 0.000 0.000 0.500
```

Output
For the calculated volume, the calculation gives 266.0 Å³/cell. The energy above the lowest structure with this stoichiometry is 35 meV/atom. The formation enthalpy at 0 K is 0.7 eV/f.u.



14.
Computed, not measured: an optimized crystal structure of Cd2NiPb at the PBE-GGA level of DFT.

Geometry as CIF:
```
data_Cd2NiPb
_symmetry_space_group_name_H-M 'C 1 m 1'
_symmetry_Int_Tables_number 8
_cell_length_a 9.582
_cell_length_b 3.136
_cell_length_c 6.764
_cell_angle_alpha 90.00
_cell_angle_beta 114.40
_cell_angle_gamma 90.00
loop_
_symmetry_equiv_pos_as_xyz
'x,y,z'
'x,-y,z'
'x+1/2,y+1/2,z'
'x+1/2,-y+1/2,z'
loop_
_atom_site_label
_atom_site_type_symbol
_atom_site_fract_x
_atom_site_fract_y
_atom_site_fract_z
Cd1 Cd 0.000 0.000 0.000
Cd2 Cd 0.190 0.000 0.686
Ni1 Ni 0.235 0.500 0.027
Pb1 Pb 0.363 0.000 0.382
```

Output
For the calculated volume, the calculation gives 185.1 Å³/cell. The energy above the lowest structure with this stoichiometry is 47 meV/atom. The formation enthalpy at 0 K is 0.5 eV/f.u.